# 1
Here is a geometry-optimized Ir2AuBr structure from the Alexandria database. Energies are from GGA-PBE.

a b c (Å): 2.9336 2.9336 8.6017
angles (deg): 90.00 90.00 90.00
Last column: nearest neighbours and their distance in Å.
Space group P4mm (No. 99)
Asymmetric unit:
Ir: 0.0000 0.0000 0.0000  8 Ir 2.64-2.93, 4 Br 2.87
Ir: 0.5000 0.5000 0.1906  8 Ir 2.64-2.93, 4 Au 2.87
Au: 0.0000 0.0000 0.4214  4 Ir 2.87, 4 Au 2.93
Br: 0.5000 0.5000 0.7696  4 Ir 2.87, 4 Br 2.93

Properties
- ΔE to the lowest computed polymorph: 0.122 eV/atom
- Crystal system: tetragonal
- Magnetization: 0.0 μB per formula unit
- E_form (uncorrected): 2.31 eV/f.u.

---

# 2
Here is a geometry-optimized FeHgPb2 structure from the Alexandria database. Energies are from GGA-PBE.

a b c (Å): 14.3627 3.1975 4.5788
angles (deg): 90.00 108.46 90.00
Last column: nearest neighbours and their distance in Å.
Space group Cm (No. 8)
Asymmetric unit:
Fe: 0.0000 0.0000 0.0000  6 Pb 2.79-3.00, 2 Hg 2.88
Hg: 0.3239 0.0000 0.8241  2 Fe 2.88, 2 Hg 3.20
Pb: 0.1867 0.5000 0.1867  2 Fe 3.00, 2 Pb 3.20, 4 Hg 3.36
Pb: 0.4992 0.0000 0.4993  4 Fe 2.79

Properties
- Uncorrected energy: -29.4 eV/cell
- Crystal system: monoclinic
- Magnetization: 2.2 μB per formula unit

---

# 3
Here is a geometry-optimized Tl2NiN structure from the Alexandria database. Energies are from GGA-PBE.

a b c (Å): 6.5188 6.5188 6.5188
angles (deg): 90.00 90.00 90.00
Last column: nearest neighbours and their distance in Å.
Space group Fm-3m (No. 225)
Asymmetric unit:
Tl: 0.2500 0.2500 0.2500  4 Ni 2.82, 4 N 2.82
Ni: 0.0000 0.0000 0.0000  8 Tl 2.82
N: 0.0000 0.0000 0.5000  8 Tl 2.82

Properties
- ΔE to the lowest computed polymorph: 0.329 eV/atom
- Crystal system: cubic
- Magnetization: 0.5 μB per formula unit
- E_form (uncorrected): 4.81 eV/f.u.

---

# 4
Here is a geometry-optimized CdIr3S structure from the Alexandria database. Energies are from GGA-PBE.

a b c (Å): 4.4340 4.4340 4.4340
angles (deg): 90.00 90.00 90.00
Last column: nearest neighbours and their distance in Å.
Space group Pm-3m (No. 221)
Asymmetric unit:
Cd: 0.0000 0.0000 0.0000  12 Ir 3.14
Ir: 0.0000 0.5000 0.5000  2 S 2.22
S: 0.5000 0.5000 0.5000  6 Ir 2.22

Properties
- Crystal system: cubic
- Magnetization: 0.0 μB per formula unit
- E_form (uncorrected): 3.07 eV/f.u.

---

# 5
Here is a geometry-optimized UNbNi10 structure from the Alexandria database. Energies are from GGA-PBE.

a b c (Å): 3.9716 4.7198 8.1981
angles (deg): 90.00 90.00 90.00
Last column: nearest neighbours and their distance in Å.
Space group Pmmm (No. 47)
Asymmetric unit:
U: 0.0000 0.0000 0.0000  6 Ni 2.75-2.76
Nb: 0.0000 0.5000 0.5000  6 Ni 2.69-2.71
Ni: 0.0000 0.0000 0.3371  7 Ni 2.39-2.67
Ni: 0.0000 0.5000 0.1723  6 Ni 2.40-2.44, 1 Nb 2.69
Ni: 0.5000 0.0000 0.5000  8 Ni 2.33-2.39
Ni: 0.5000 0.2520 0.2549  8 Ni 2.33-2.41
Ni: 0.5000 0.5000 0.0000  8 Ni 2.40-2.44

Properties
- Uncorrected energy: -80.7 eV/cell
- Crystal system: orthorhombic
- Magnetization: 0.4 μB per formula unit

---

# 6
Here is a geometry-optimized ThPaAs2C structure from the Alexandria database. Energies are from GGA-PBE.

a b c (Å): 4.1915 4.1915 13.0703
angles (deg): 90.00 90.00 90.00
Last column: nearest neighbours and their distance in Å.
Space group P4/nmm (No. 129, origin choice 2)
Asymmetric unit:
Th: 0.2500 0.2500 0.1240  6 As 2.83-3.07
Pa: 0.2500 0.2500 0.5828  4 C 2.36
As: 0.2500 0.2500 0.3404  1 Th 2.83, 4 C 2.96, 4 Pa 3.13
As: 0.2500 0.2500 0.8890  5 Th 2.97-3.07
C: 0.2500 0.7500 0.5000  4 Pa 2.36

Properties
- Uncorrected energy: -77.7 eV/cell
- Crystal system: tetragonal
- Magnetization: 0.0 μB per formula unit

---

What are the DOS(E_F) values for these records? In order: 3.2; 7.2; 15.7; 5.2; 15.8; 5.4 states/eV/cell.